! Cs2Ni3PdF12, relaxed, DFT PBE with a Hubbard U; values from VASP
&SYSTEM
  ibrav = 0, nat = 18, ntyp = 4
/
ATOMIC_SPECIES
Cs 132.91 Cs.upf
Ni 58.69 Ni.upf
Pd 106.42 Pd.upf
F 19.00 F.upf
ATOMIC_POSITIONS angstrom
Cs 9.2662 5.3937 3.8257
Cs 5.8512 3.4059 2.4158
Ni 3.7524 0.0576 0.0408
Ni 1.9032 3.2344 0.0408
Ni 1.9032 1.1078 3.0391
Pd 0.0000 0.0000 0.0000
F 7.1711 4.1742 5.6986
F 11.6891 6.8040 2.0732
F 9.4299 8.0871 5.7361
F 9.4180 2.8980 2.0555
F 11.6891 4.2059 5.7361
F 7.1711 6.7582 2.0555
F 7.9464 4.6255 0.5428
F 3.4284 1.9956 4.1683
F 5.6875 0.7125 0.5054
F 5.6995 5.9016 4.1859
F 3.4284 4.5937 0.5054
F 7.9464 2.0414 4.1859
CELL_PARAMETERS angstrom
7.5048 0.1151 0.0816
3.8063 6.4689 0.0816
3.8063 2.2156 6.0782
! raw total energy: -4.18 eV per atom
! crystal system: trigonal
! size of the total moment: 5.9 μB/f.u.